Here is a geometry-optimized ErGa3Ag3 structure from Alexandria. Energies are from PBE.

```
14
Lattice="-2.480 -0.231 -7.581 5.260 -1.173 -5.885 0.213 -5.628 -4.098" Properties=species:S:1:pos:R:3 pbc="T T T"
Ga -1.103 -1.368 -9.243
Ga 3.420 -2.144 -11.231
Ga 2.910 -1.699 -6.276
Ga 0.082 -5.334 -11.288
Ga 4.095 -5.664 -8.321
Ga -0.428 -4.888 -6.333
Ag -0.072 -2.398 -6.882
Ag 2.257 -4.189 -6.274
Ag 3.064 -4.634 -10.682
Ag 0.735 -2.844 -11.290
Ag -1.139 -3.942 -9.221
Ag 4.131 -3.090 -8.343
Er 1.842 -1.013 -8.971
Er 1.150 -6.019 -8.593
```

Energy of formation in eV per formula unit: -0.88
ΔE to the lowest computed polymorph in meV per atom: 102
Raw total energy in eV per atom: -3.2965
V in A^3/atom: 20.58
M_tot in μB/f.u.: 0.0